# 1
This record from the Alexandria database describes a PBEsol-optimized structure of AlB2TeSe. The functional is meta-GGA SCAN.

Computed properties:
Calculated density, g/cm3: 4.616
ΔE_f (raw), meV/atom: 1174

CIF file:
```
data_AlB2TeSe
_chemical_formula_sum 'Al1 B2 Te1 Se1'
_cell_length_a 4.2677
_cell_length_b 4.2677
_cell_length_c 5.0393
_cell_angle_alpha 90.00
_cell_angle_beta 90.00
_cell_angle_gamma 90.00
_symmetry_space_group_name_H-M 'P 4/m m m'
_symmetry_Int_Tables_number 123
_symmetry_space_group_name_Hall '-P 4 2'
loop_
_atom_site_label
_atom_site_fract_x
_atom_site_fract_y
_atom_site_fract_z
Al1 0.0000 0.0000 0.0000
B1 0.0000 0.5000 0.0000
Te1 0.5000 0.5000 0.5000
Se1 0.0000 0.0000 0.5000
```

---

# 2
This record from the Alexandria database describes a PBEsol-optimized structure of AlTcSnB2. The functional is meta-GGA SCAN.

Computed properties:
Calculated density, g/cm3: 5.040
Energy of formation from the pure elements, meV/atom: 921

CIF file:
```
data_AlTcSnB2
_chemical_formula_sum 'Al1 Tc1 Sn1 B2'
_cell_length_a 4.0813
_cell_length_b 4.0813
_cell_length_c 5.2479
_cell_angle_alpha 90.00
_cell_angle_beta 90.00
_cell_angle_gamma 90.00
_symmetry_space_group_name_H-M 'P 4/m m m'
_symmetry_Int_Tables_number 123
_symmetry_space_group_name_Hall '-P 4 2'
loop_
_atom_site_label
_atom_site_fract_x
_atom_site_fract_y
_atom_site_fract_z
Al1 0.0000 0.0000 0.0000
Tc1 0.5000 0.5000 0.5000
Sn1 0.5000 0.5000 0.0000
B1 0.0000 0.5000 0.5000
```

---

# 3
This record from the Alexandria database describes a PBEsol-optimized structure of Ta3AlB8. The functional is meta-GGA SCAN.

Computed properties:
Calculated density, g/cm3: 10.155
Energy of formation from the pure elements, meV/atom: -493

CIF file:
```
data_Ta3AlB8
_chemical_formula_sum 'Ta3 Al1 B8'
_cell_length_a 3.0433
_cell_length_b 3.0433
_cell_length_c 13.3804
_cell_angle_alpha 90.00
_cell_angle_beta 90.00
_cell_angle_gamma 120.00
_symmetry_space_group_name_H-M 'P 6/m m m'
_symmetry_Int_Tables_number 191
_symmetry_space_group_name_Hall '-P 6 2'
loop_
_atom_site_label
_atom_site_fract_x
_atom_site_fract_y
_atom_site_fract_z
Ta1 0.0000 0.0000 0.0000
Ta2 0.0000 0.0000 0.2460
Al1 0.0000 0.0000 0.5000
B1 0.3333 0.6667 0.1247
B2 0.3333 0.6667 0.3791
```

---

# 4
This record from the Alexandria database describes a PBEsol-optimized structure of TaAlB2. The functional is meta-GGA SCAN.

Computed properties:
Calculated density, g/cm3: 7.992
Energy of formation from the pure elements, meV/atom: 404

CIF file:
```
data_TaAlB2
_chemical_formula_sum 'Ta4 Al4 B8'
_cell_length_a 5.8109
_cell_length_b 5.8109
_cell_length_c 5.6504
_cell_angle_alpha 90.00
_cell_angle_beta 90.00
_cell_angle_gamma 90.00
_symmetry_space_group_name_H-M 'I -4 2 d'
_symmetry_Int_Tables_number 122
_symmetry_space_group_name_Hall 'I -4 2bw'
loop_
_atom_site_label
_atom_site_fract_x
_atom_site_fract_y
_atom_site_fract_z
Ta1 0.0000 0.0000 0.0000
Al1 0.0000 0.0000 0.5000
B1 0.2323 0.7500 0.6250
```

---

# 5
This record from the Alexandria database describes a PBEsol-optimized structure of AlTc2B2. The functional is meta-GGA SCAN.

Computed properties:
Calculated density, g/cm3: 7.979
Energy of formation from the pure elements, meV/atom: -525

CIF file:
```
data_AlTc2B2
_chemical_formula_sum 'Al2 Tc4 B4'
_cell_length_a 5.8412
_cell_length_b 5.8412
_cell_length_c 2.9837
_cell_angle_alpha 90.00
_cell_angle_beta 90.00
_cell_angle_gamma 90.00
_symmetry_space_group_name_H-M 'P 4/m b m'
_symmetry_Int_Tables_number 127
_symmetry_space_group_name_Hall '-P 4 2ab'
loop_
_atom_site_label
_atom_site_fract_x
_atom_site_fract_y
_atom_site_fract_z
Al1 0.0000 0.0000 0.0000
Tc1 0.1745 0.3255 0.5000
B1 0.1126 0.6126 0.0000
```

---

# 6
This record from the Alexandria database describes a PBEsol-optimized structure of AlTc3B. The functional is meta-GGA SCAN.

Computed properties:
Calculated density, g/cm3: 6.850
Energy of formation from the pure elements, meV/atom: 2224

CIF file:
```
data_AlTc3B
_chemical_formula_sum 'Al1 Tc3 B1'
_cell_length_a 4.3166
_cell_length_b 4.3166
_cell_length_c 4.3166
_cell_angle_alpha 90.00
_cell_angle_beta 90.00
_cell_angle_gamma 90.00
_symmetry_space_group_name_H-M 'P m -3 m'
_symmetry_Int_Tables_number 221
_symmetry_space_group_name_Hall '-P 4 2 3'
loop_
_atom_site_label
_atom_site_fract_x
_atom_site_fract_y
_atom_site_fract_z
Al1 0.0000 0.0000 0.0000
Tc1 0.0000 0.0000 0.5000
B1 0.5000 0.5000 0.5000
```

---

# 7
This record from the Alexandria database describes a PBEsol-optimized structure of AlTcB3. The functional is meta-GGA SCAN.

Computed properties:
Calculated density, g/cm3: 4.283
Energy of formation from the pure elements, meV/atom: 2039

CIF file:
```
data_AlTcB3
_chemical_formula_sum 'Al1 Tc1 B3'
_cell_length_a 3.9370
_cell_length_b 3.9370
_cell_length_c 3.9370
_cell_angle_alpha 90.00
_cell_angle_beta 90.00
_cell_angle_gamma 90.00
_symmetry_space_group_name_H-M 'P m -3 m'
_symmetry_Int_Tables_number 221
_symmetry_space_group_name_Hall '-P 4 2 3'
loop_
_atom_site_label
_atom_site_fract_x
_atom_site_fract_y
_atom_site_fract_z
Al1 0.0000 0.0000 0.0000
Tc1 0.5000 0.5000 0.5000
B1 0.0000 0.0000 0.5000
```

---

# 8
This record from the Alexandria database describes a PBEsol-optimized structure of Al2TcB2. The functional is meta-GGA SCAN.

Computed properties:
Calculated density, g/cm3: 5.510
Energy of formation from the pure elements, meV/atom: -291

CIF file:
```
data_Al2TcB2
_chemical_formula_sum 'Al4 Tc2 B4'
_cell_length_a 5.7727
_cell_length_b 5.7727
_cell_length_c 3.1395
_cell_angle_alpha 90.00
_cell_angle_beta 90.00
_cell_angle_gamma 90.00
_symmetry_space_group_name_H-M 'P 4/m b m'
_symmetry_Int_Tables_number 127
_symmetry_space_group_name_Hall '-P 4 2ab'
loop_
_atom_site_label
_atom_site_fract_x
_atom_site_fract_y
_atom_site_fract_z
Al1 0.1830 0.3170 0.0000
Tc1 0.0000 0.0000 0.5000
B1 0.1045 0.6045 0.5000
```

---

| no. | volume (Å³ per atom) |
| --- | --- |
| 1 | 18.36 |
| 2 | 17.48 |
| 3 | 8.94 |
| 4 | 11.92 |
| 5 | 10.18 |
| 6 | 16.09 |
| 7 | 12.21 |
| 8 | 10.46 |